Zn4Au5 (PBE, relaxed); spin magnetization = 0.000 Bohr magnetons per cell; relative energy among the computed polymorphs = 61 meV per atom; ρ = 13.76 Mg/m³; DFT total energy = -2.5116 eV per atom; calculated formation energy = -0.12 eV per atom; N(E_F) = 2.4 states/eV/f.u.
1.0
4.195 0.000 0.000
2.098 5.988 0.000
-2.098 0.000 5.988
Au Zn
5 4
Direct
0.672 0.000 0.343
0.000 0.000 0.000
0.328 0.343 0.000
0.328 0.000 0.657
0.672 0.657 0.000
0.000 0.664 0.664
0.336 0.664 0.336
0.664 0.336 0.664
0.000 0.336 0.336